*w*
{"formula": "Cu7Pt5", "functional": "GGA-PBEsol", "state": "relaxed", "lattice_angstrom": [[2.625, -3.726, 0.000], [2.625, 3.726, 0.000], [0.000, 0.000, 8.025]], "species": ["Cu", "Cu", "Cu", "Cu", "Cu", "Cu", "Cu", "Pt", "Pt", "Pt", "Pt", "Pt"], "frac_coords": [[0.000, 0.000, 0.000], [0.000, 0.000, 0.338], [0.000, 0.000, 0.662], [0.000, 0.500, 0.502], [0.000, 0.500, 0.832], [0.500, 0.000, 0.168], [0.500, 0.000, 0.498], [0.000, 0.500, 0.170], [0.500, 0.000, 0.830], [0.500, 0.500, 0.000], [0.500, 0.500, 0.336], [0.500, 0.500, 0.664]], "mass_density_g_cm3": 15.0, "sg": "C222 (21)"}

*x*
{"formula": "Cu7Pt5", "functional": "GGA-PBEsol", "state": "relaxed", "lattice_angstrom": [[3.730, 0.000, 0.000], [0.000, 5.269, 0.000], [0.000, 0.000, 7.932]], "species": ["Cu", "Cu", "Cu", "Cu", "Cu", "Cu", "Cu", "Pt", "Pt", "Pt", "Pt", "Pt"], "frac_coords": [[0.000, 0.000, 0.000], [0.000, 0.500, 0.328], [0.000, 0.500, 0.672], [0.500, 0.251, 0.161], [0.500, 0.251, 0.839], [0.500, 0.749, 0.161], [0.500, 0.749, 0.839], [0.000, 0.000, 0.319], [0.000, 0.000, 0.681], [0.000, 0.500, 0.000], [0.500, 0.254, 0.500], [0.500, 0.746, 0.500]], "mass_density_g_cm3": 15.1, "sg": "Pmmm (47)"}

Stability ranking, top and bottom: *w* is the most stable and *x* is the least stable.